Here is Sm4Au2O after structural relaxation from Alexandria via LeMat-Bulk. Energies are from PBE.

Cell: 4.795 4.795 8.254 Å, 73.12 73.12 90.00°
Fractional positions:
O  0.000  0.000  0.000
Sm  0.181  0.181  0.639
Au  0.630  0.630  0.741
Sm  0.000  0.500  0.000
Sm  0.500  0.000  0.000
Au  0.370  0.370  0.259
Sm  0.819  0.819  0.361

The raw total energy is -5.59 eV/atom. Its total moment is 0.0 μB per cell. The value obtained for the density of states at the Fermi level is 1.081 states/eV per atom. Its crystal system is tetragonal. For the uncorrected formation energy, the calculation gives -8.739 eV/f.u.